Computed, not measured: an optimized crystal structure of Li5Mn2Ni5O12 at the PBE with a Hubbard U level of DFT. Values from VASP.

Computed properties:
- volume (A^3/atom) = 8.911
- magnetization (Bohr magnetons per cell) = 15.0
- energy (eV/atom) = -5.50
- density (g/cm3) = 4.9

```
&SYSTEM
  ibrav = 0, nat = 24, ntyp = 4
/
ATOMIC_SPECIES
O 16.00 O.upf
Li 6.94 Li.upf
Ni 58.69 Ni.upf
Mn 54.94 Mn.upf
CELL_PARAMETERS angstrom
5.090 0.024 -0.016
-2.601 4.375 -0.016
0.861 1.522 9.566
ATOMIC_POSITIONS crystal
O 0.397 0.875 0.614
O 0.975 0.787 0.881
O 0.486 0.296 0.383
Li 0.162 0.333 0.254
Ni 0.422 0.578 0.500
O 0.607 0.113 0.883
Li 0.840 0.671 0.256
Ni 0.915 0.085 0.000
Mn 0.754 0.246 0.500
O 0.282 0.479 0.882
O 0.782 0.976 0.379
O 0.521 0.718 0.118
O 0.125 0.603 0.386
Li 0.329 0.160 0.744
O 0.213 0.025 0.119
O 0.704 0.514 0.617
Li 0.086 0.914 0.500
Li 0.667 0.838 0.746
O 0.024 0.218 0.621
O 0.887 0.393 0.117
Ni 0.000 0.506 0.746
Ni 0.580 0.420 0.000
Ni 0.494 0.000 0.254
Mn 0.248 0.752 0.000
```

Computed, not measured: an optimized crystal structure of Li4Mn5Ni3O16 at the PBE with a Hubbard U level of DFT. Values from VASP.

Computed properties:
- volume (A^3/atom) = 9.814
- magnetization (Bohr magnetons per cell) = 19.0
- energy (eV/atom) = -6.13
- density (g/cm3) = 4.4

```
&SYSTEM
  ibrav = 0, nat = 28, ntyp = 4
/
ATOMIC_SPECIES
Mn 54.94 Mn.upf
O 16.00 O.upf
Li 6.94 Li.upf
Ni 58.69 Ni.upf
CELL_PARAMETERS angstrom
5.840 0.011 -0.005
-2.851 5.006 0.000
-0.279 -0.159 9.390
ATOMIC_POSITIONS crystal
Mn 0.344 0.172 0.715
O 0.469 0.508 0.346
Mn 0.171 0.832 0.213
O 0.506 0.035 0.848
O 0.843 0.175 0.096
O 0.951 0.475 0.845
O 0.678 0.839 0.591
Mn 0.171 0.339 0.213
Li 0.008 0.004 0.496
O 0.014 0.007 0.307
O 0.183 0.841 0.598
O 0.843 0.668 0.096
O 0.469 0.961 0.346
Mn 0.344 0.672 0.487
Li 0.986 0.993 0.991
O 0.506 0.471 0.848
Ni 0.661 0.830 0.212
Li 0.667 0.334 0.400
O 0.183 0.342 0.598
O 0.007 0.004 0.801
Ni 0.830 0.662 0.711
O 0.324 0.162 0.102
O 0.040 0.520 0.338
O 0.659 0.330 0.611
Ni 0.830 0.169 0.711
Mn 0.674 0.337 0.983
O 0.315 0.657 0.107
Li 0.324 0.662 0.898
```

Computed, not measured: an optimized crystal structure of Li3Mn3NiO8 at the PBE with a Hubbard U level of DFT. Values from VASP.

Computed properties:
- volume (A^3/atom) = 9.791
- energy above the lowest structure with this stoichiometry (kJ/mol of atoms) = 5.33
- magnetization (Bohr magnetons per cell) = 12.0
- energy (eV/atom) = -6.26
- density (g/cm3) = 4.2

```
&SYSTEM
  ibrav = 0, nat = 15, ntyp = 4
/
ATOMIC_SPECIES
O 16.00 O.upf
Ni 58.69 Ni.upf
Mn 54.94 Mn.upf
Li 6.94 Li.upf
CELL_PARAMETERS angstrom
2.893 5.213 -0.003
-2.893 5.213 -0.003
0.000 3.174 4.868
ATOMIC_POSITIONS crystal
O 0.287 0.769 0.704
O 0.240 0.240 0.282
O 0.241 0.241 0.738
Ni 0.000 0.000 0.500
Mn 0.000 0.500 0.500
Li 0.000 0.000 0.000
Li 0.000 0.500 0.000
O 0.760 0.760 0.718
Mn 0.500 0.500 0.500
Mn 0.500 0.000 0.500
O 0.769 0.287 0.704
O 0.759 0.759 0.262
O 0.231 0.713 0.296
O 0.713 0.231 0.296
Li 0.500 0.000 0.000
```